Compound: InPIrO2
Source: Alexandria
Functional: PBE-GGA
Structure: optimized geometry

Calculated values
- V (Å³/atom) = 15.4
- uncorrected energy (eV/atom) = -5.6458
- magnetization (μB/f.u.) = 0.0
- crystal system = tetragonal

Structure (CIF):
```
data_InPIrO2
_cell_length_a 3.8603
_cell_length_b 3.8603
_cell_length_c 5.1793
_cell_angle_alpha 90.00
_cell_angle_beta 90.00
_cell_angle_gamma 90.00
_symmetry_space_group_name_H-M 'P 1'
_symmetry_Int_Tables_number 1
loop_
_symmetry_equiv_pos_as_xyz
'x,y,z'
loop_
_atom_site_label
_atom_site_type_symbol
_atom_site_fract_x
_atom_site_fract_y
_atom_site_fract_z
O1 O 0.5000 0.0000 0.0000
O2 O 0.0000 0.5000 0.0000
Ir1 Ir 0.0000 0.0000 0.0000
In1 In 0.5000 0.5000 0.5000
P1 P 0.0000 0.0000 0.5000
```